VASP calculation (GGA-PBEsol) on a relaxed structure of AgPt2.

Computed properties:
Offset from the most stable computed form   0.013 eV/atom
Formation enthalpy at 0 K   0.23 kcal/mol of atoms
Uncorrected energy   -68.8 eV for the cell shown
Volume   46.1 Å³/f.u.
Space-group type   P2_1/m

a = 2.7596 Å, b = 8.0275 Å, c = 8.3199 Å
α = 90.46°, β = 90.00°, γ = 90.00°
Closest atoms and distances in Å follow each position.
Fractional coordinates of all 12 atoms:
Ag (0.2500, 0.1305, 0.4171)  7 Ag 2.74-2.87, 5 Pt 2.81-2.82
Ag (0.7500, 0.8765, 0.2534)  5 Ag 2.74-2.81, 7 Pt 2.76-2.85
Ag (0.2500, 0.1235, 0.7466)  5 Ag 2.74-2.81, 7 Pt 2.76-2.85
Ag (0.7500, 0.8695, 0.5829)  7 Ag 2.74-2.87, 5 Pt 2.81-2.82
Pt (0.2500, 0.6249, 0.0843)  10 Pt 2.73-2.80, 2 Ag 2.81
Pt (0.7500, 0.3751, 0.9157)  10 Pt 2.73-2.80, 2 Ag 2.81
Pt (0.2500, 0.6165, 0.4139)  8 Pt 2.74-2.84, 4 Ag 2.82-2.84
Pt (0.7500, 0.3754, 0.2443)  10 Pt 2.73-2.84, 2 Ag 2.81
Pt (0.2500, 0.1269, 0.0788)  8 Pt 2.76-2.79, 4 Ag 2.76-2.85
Pt (0.7500, 0.8731, 0.9212)  8 Pt 2.76-2.79, 4 Ag 2.76-2.85
Pt (0.2500, 0.6246, 0.7557)  10 Pt 2.73-2.84, 2 Ag 2.81
Pt (0.7500, 0.3835, 0.5861)  8 Pt 2.74-2.84, 4 Ag 2.82-2.84